Compound: Pr2HoPaBi4
Source: the Alexandria database
Functional: PBE
Structure: optimized geometry

* M_tot: 1.02 μB/f.u.
* SG: No. 10
* calculated total energy: -44.76 eV per cell

Cell: 4.5463 7.8755 7.9107 Å, 109.27 90.00 90.00°
Each line ends with the local moment (μB).
Fractional coordinates of all 8 atoms:
Bi 0.5000 0.2462 0.2374  -0.01
Bi 0.5000 0.7538 0.7626  -0.01
Bi 0.0000 0.7473 0.2391  -0.02
Bi 0.0000 0.2527 0.7609  -0.02
Pr 0.5000 0.0000 0.5000  0.02
Pr 0.0000 0.5000 0.5000  0.01
Ho 0.0000 0.0000 0.0000  -0.01
Pa 0.5000 0.5000 0.0000  0.89



Compound: HoPu2PaBi5
Source: the Alexandria database
Functional: PBE
Structure: optimized geometry

* M_tot: 10.84 μB/f.u.
* SG: No. 123
* calculated total energy: -59.87 eV per cell

Cell: 5.6759 5.6759 11.7731 Å, 90.00 90.00 90.00°
Each line ends with the local moment (μB).
Fractional coordinates of all 9 atoms:
Bi 0.0000 0.5000 0.5000  -0.06
Bi 0.0000 0.0000 0.2467  -0.07
Bi 0.0000 0.0000 0.7533  -0.07
Bi 0.5000 0.0000 0.5000  -0.06
Bi 0.5000 0.5000 0.0000  -0.10
Ho 0.0000 0.0000 0.0000  -0.04
Pa 0.0000 0.0000 0.5000  -0.29
Pu 0.5000 0.5000 0.7127  5.61
Pu 0.5000 0.5000 0.2873  5.61



Compound: Ho2PuPaBi4
Source: the Alexandria database
Functional: PBE
Structure: optimized geometry

* M_tot: 6.50 μB/f.u.
* SG: No. 10
* calculated total energy: -52.72 eV per cell

Cell: 4.4780 7.7637 7.7846 Å, 109.28 90.00 90.00°
Each line ends with the local moment (μB).
Fractional coordinates of all 8 atoms:
Pa 0.0000 0.0000 0.0000  0.91
Bi 0.5000 0.2491 0.2536  -0.04
Bi 0.0000 0.2462 0.7463  -0.07
Bi 0.0000 0.7538 0.2537  -0.07
Bi 0.5000 0.7509 0.7464  -0.04
Ho 0.5000 0.0000 0.5000  -0.05
Ho 0.0000 0.5000 0.5000  0.00
Pu 0.5000 0.5000 0.0000  5.40



Compound: HoSc2PaBi4
Source: the Alexandria database
Functional: PBE
Structure: optimized geometry

* M_tot: 1.05 μB/f.u.
* SG: No. 10
* calculated total energy: -46.63 eV per cell

Cell: 4.3664 7.5878 7.5513 Å, 109.32 90.00 90.00°
Each line ends with the local moment (μB).
Fractional coordinates of all 8 atoms:
Sc 0.5000 0.0000 0.5000  0.01
Sc 0.0000 0.5000 0.5000  0.02
Bi 0.5000 0.2574 0.2664  -0.02
Bi 0.0000 0.2461 0.7361  -0.01
Bi 0.0000 0.7539 0.2639  -0.01
Bi 0.5000 0.7426 0.7336  -0.02
Pa 0.0000 0.0000 0.0000  0.92
Ho 0.5000 0.5000 0.0000  0.00



Compound: Sm2HoPaBi4
Source: the Alexandria database
Functional: PBE
Structure: optimized geometry

* M_tot: 1.04 μB/f.u.
* SG: No. 10
* calculated total energy: -44.50 eV per cell

Cell: 4.5048 7.8111 7.8299 Å, 109.25 90.00 90.00°
Each line ends with the local moment (μB).
Fractional coordinates of all 8 atoms:
Bi 0.0000 0.7497 0.2451  -0.02
Bi 0.5000 0.2477 0.2431  -0.01
Bi 0.5000 0.7523 0.7569  -0.01
Bi 0.0000 0.2503 0.7549  -0.02
Sm 0.5000 0.0000 0.5000  0.02
Sm 0.0000 0.5000 0.5000  0.01
Ho 0.0000 0.0000 0.0000  0.00
Pa 0.5000 0.5000 0.0000  0.92



Compound: SmHo2PaBi4
Source: the Alexandria database
Functional: PBE
Structure: optimized geometry

* M_tot: 1.09 μB/f.u.
* SG: No. 10
* calculated total energy: -44.15 eV per cell

Cell: 4.4810 7.7862 7.7680 Å, 109.26 90.00 90.00°
Each line ends with the local moment (μB).
Fractional coordinates of all 8 atoms:
Pa 0.5000 0.5000 0.0000  0.98
Sm 0.0000 0.0000 0.0000  0.01
Bi 0.5000 0.2546 0.2546  -0.01
Bi 0.0000 0.7498 0.2544  -0.02
Bi 0.0000 0.2502 0.7456  -0.02
Bi 0.5000 0.7454 0.7454  -0.01
Ho 0.5000 0.0000 0.5000  0.01
Ho 0.0000 0.5000 0.5000  0.00



Q: Number 2 is which compound?
A: HoPu2PaBi5